1.
Below is a geometry-optimized Ti2GaPt structure, with properties calculated at the PBE-GGA level.

a b c (Å): 3.863 3.863 18.508
angles (deg): 90.00 90.00 90.00
Space group I-42d (No. 122)
Asymmetric unit:
Ti (0.241, 0.250, 0.125) (multiplicity 8)
Ga (0.000, 0.000, 0.000) (multiplicity 4)
Pt (0.000, 0.000, 0.500) (multiplicity 4)

Output
* calculated volume: 17.3 A^3/atom
* formation energy from the elements: -0.1356 eV per atom

---

2.
Below is a geometry-optimized Ti2Nb2S7 structure, with properties calculated at the PBE-GGA level.

a b c (Å): 7.214 10.425 6.650
angles (deg): 90.00 93.60 90.00
Space group C2/m (No. 12)
Asymmetric unit:
Ti (0.221, 0.000, 0.130) (multiplicity 4)
Nb (0.000, 0.142, 0.500) (multiplicity 4)
S (0.000, 0.500, 0.000) (multiplicity 2)
S (0.109, 0.000, 0.772) (multiplicity 4)
S (0.227, 0.310, 0.696) (multiplicity 8)

Output
* calculated volume: 22.7 A^3/atom
* formation energy without anion corrections: -22.52 kcal/mol of atoms

---

> The highest calculated volume belongs to which entry?

Ti2Nb2S7

---

> calculated volume of number 2 (Ti2Nb2S7)?

22.7 A^3/atom

---

> Among the records above, which one has the highest calculated volume?

Ti2Nb2S7

---

> Which formula does entry 2 have?

Ti2Nb2S7